(1)
Below is a relaxed structure of VOsSe3, with properties calculated at the PBE level. Values from VASP.

```
&SYSTEM
  ibrav = 0, nat = 5, ntyp = 3
/
ATOMIC_SPECIES
Os 190.23 Os.upf
Se 78.96 Se.upf
V 50.94 V.upf
ATOMIC_POSITIONS angstrom
Os 0.0000 0.0000 0.0000
Se 0.0000 2.4432 0.0000
Se 0.0000 0.0000 2.4432
Se 2.4432 0.0000 0.0000
V 2.4432 2.4432 2.4432
CELL_PARAMETERS angstrom
4.8864 0.0000 0.0000
0.0000 4.8864 0.0000
0.0000 0.0000 4.8864
```

Values from the calculation:
- Relative energy among the computed polymorphs: 0.00 kJ per mole of atoms
- Raw formation energy: 0.845 eV/atom
- Raw total energy: -26.6 eV for the cell shown
- Volume: 23.3 A^3/atom


(2)
Below is a relaxed structure of VOsSe4, with properties calculated at the PBE level. Values from VASP.

```
&SYSTEM
  ibrav = 0, nat = 12, ntyp = 3
/
ATOMIC_SPECIES
V 50.94 V.upf
Os 190.23 Os.upf
Se 78.96 Se.upf
ATOMIC_POSITIONS angstrom
V -1.1691 -1.0051 0.1968
V -4.9691 0.9940 1.7945
Os -4.0958 -3.5213 0.6897
Os -2.5767 3.0508 1.3917
Se 0.4892 -2.0838 5.6462
Se -3.3327 1.6209 3.3031
Se -3.5215 -1.0726 0.9485
Se -1.1370 1.2714 0.6005
Se -0.2118 1.3027 4.8156
Se -3.9676 4.8722 2.1747
Se -4.4314 2.2362 -0.0801
Se -0.4659 -1.5489 2.7052
CELL_PARAMETERS angstrom
-6.4161 1.5763 -2.1394
1.0970 -6.1493 3.0351
1.4757 4.7084 4.8870
```

Values from the calculation:
- Relative energy among the computed polymorphs: 22.02 kJ per mole of atoms
- Raw formation energy: -0.227 eV/atom
- Raw total energy: -71.3 eV for the cell shown
- Volume: 21.1 A^3/atom


(3)
Below is a relaxed structure of VOsSe2, with properties calculated at the PBE level. Values from VASP.

```
&SYSTEM
  ibrav = 0, nat = 4, ntyp = 3
/
ATOMIC_SPECIES
Os 190.23 Os.upf
Se 78.96 Se.upf
V 50.94 V.upf
ATOMIC_POSITIONS angstrom
Os -3.0553 -2.5179 3.6376
Se -1.5276 -1.2589 1.8188
Se -4.5829 -3.7768 5.4564
V 0.0000 0.0000 0.0000
CELL_PARAMETERS angstrom
-1.5901 0.1814 4.0877
-4.0244 -1.5286 0.8595
-0.4960 -3.6886 2.3279
```

Values from the calculation:
- Relative energy among the computed polymorphs: 20.46 kJ per mole of atoms
- Raw formation energy: 0.263 eV/atom
- Raw total energy: -26.3 eV for the cell shown
- Volume: 15.0 A^3/atom


(4)
Below is a relaxed structure of VOsSe, with properties calculated at the PBE level. Values from VASP.

```
&SYSTEM
  ibrav = 0, nat = 6, ntyp = 3
/
ATOMIC_SPECIES
Os 190.23 Os.upf
Se 78.96 Se.upf
V 50.94 V.upf
ATOMIC_POSITIONS angstrom
Os 2.9258 1.5037 2.9128
Os 0.0000 1.5037 2.8917
Se 2.9258 1.5037 0.3697
Se 0.0000 0.0000 0.8966
V 1.5231 0.0000 4.3550
V 4.3285 0.0000 4.3550
CELL_PARAMETERS angstrom
5.8516 0.0000 0.0000
0.0000 3.0073 0.0000
0.0000 0.0000 5.5046
```

Values from the calculation:
- Relative energy among the computed polymorphs: 0.00 kJ per mole of atoms
- Raw formation energy: -0.101 eV/atom
- Raw total energy: -48.3 eV for the cell shown
- Volume: 16.1 A^3/atom


(5)
Below is a relaxed structure of VOsSe, with properties calculated at the PBE level. Values from VASP.

```
&SYSTEM
  ibrav = 0, nat = 6, ntyp = 3
/
ATOMIC_SPECIES
Os 190.23 Os.upf
V 50.94 V.upf
Se 78.96 Se.upf
ATOMIC_POSITIONS angstrom
Os -2.3187 -2.3923 1.6644
Os -0.4116 -4.3322 -1.3474
V -3.2565 -4.7175 1.4290
V -9.8798 -4.0756 5.5061
Se -5.8754 -4.4852 1.6296
Se -9.1899 -5.0300 3.2374
CELL_PARAMETERS angstrom
-0.3757 -3.3394 -2.5979
1.5531 -2.6177 -0.5302
-10.4066 -2.0686 6.6176
```

Values from the calculation:
- Relative energy among the computed polymorphs: 4.19 kJ per mole of atoms
- Raw formation energy: -0.058 eV/atom
- Raw total energy: -48.0 eV for the cell shown
- Volume: 17.0 A^3/atom


(6)
Below is a relaxed structure of Os2WSe, with properties calculated at the PBE level. Values from VASP.

```
&SYSTEM
  ibrav = 0, nat = 4, ntyp = 3
/
ATOMIC_SPECIES
Os 190.23 Os.upf
Se 78.96 Se.upf
W 183.84 W.upf
ATOMIC_POSITIONS angstrom
Os -3.0357 4.8097 3.8313
Os -2.6723 0.5525 0.4285
Se -1.5245 2.4154 1.9240
W -4.1240 2.8526 2.2607
CELL_PARAMETERS angstrom
-1.8629 0.5865 -2.2123
-1.8793 -2.0201 1.0469
-3.0457 4.8256 3.8439
```

Values from the calculation:
- Raw formation energy: 0.438 eV/atom
- Raw total energy: -37.1 eV for the cell shown
- Volume: 15.0 A^3/atom


(7)
Below is a relaxed structure of Os2WSe, with properties calculated at the PBE level. Values from VASP.

```
&SYSTEM
  ibrav = 0, nat = 4, ntyp = 3
/
ATOMIC_SPECIES
Os 190.23 Os.upf
Se 78.96 Se.upf
W 183.84 W.upf
ATOMIC_POSITIONS angstrom
Os -8.2476 1.4927 -3.4790
Os -1.2954 2.4630 -1.2023
Se -4.1578 0.7525 -1.7539
W -2.7318 0.8004 0.4008
CELL_PARAMETERS angstrom
-3.0676 2.4778 -3.5030
-5.1818 -0.9848 0.0232
4.1910 1.7760 2.6651
```

Values from the calculation:
- Raw formation energy: 0.523 eV/atom
- Raw total energy: -36.8 eV for the cell shown
- Volume: 15.1 A^3/atom


(8)
Below is a relaxed structure of OsW2Se, with properties calculated at the PBE level. Values from VASP.

```
&SYSTEM
  ibrav = 0, nat = 4, ntyp = 3
/
ATOMIC_SPECIES
Os 190.23 Os.upf
Se 78.96 Se.upf
W 183.84 W.upf
ATOMIC_POSITIONS angstrom
Os 0.0000 0.0000 2.5886
Se 1.4737 1.9643 4.3070
W 0.0000 0.0000 5.3833
W 1.4737 1.9643 1.5924
CELL_PARAMETERS angstrom
2.9473 0.0000 0.0000
0.0000 3.9285 0.0000
0.0000 0.0000 5.5485
```

Values from the calculation:
- Raw formation energy: 0.517 eV/atom
- Raw total energy: -38.6 eV for the cell shown
- Volume: 16.1 A^3/atom


(9)
Below is a relaxed structure of OsWSe2, with properties calculated at the PBE level. Values from VASP.

```
&SYSTEM
  ibrav = 0, nat = 4, ntyp = 3
/
ATOMIC_SPECIES
Os 190.23 Os.upf
Se 78.96 Se.upf
W 183.84 W.upf
ATOMIC_POSITIONS angstrom
Os -1.3575 -1.3279 1.8171
Se -4.5631 1.0481 2.3756
Se -2.7327 -2.5697 3.5879
W -4.0724 -3.9838 5.4513
CELL_PARAMETERS angstrom
-1.1681 -3.9677 1.3698
0.3191 -2.4782 3.5694
-4.5809 1.1343 2.3293
```

Values from the calculation:
- Relative energy among the computed polymorphs: 43.14 kJ per mole of atoms
- Raw formation energy: 0.551 eV/atom
- Raw total energy: -28.9 eV for the cell shown
- Volume: 16.1 A^3/atom


(10)
Below is a relaxed structure of OsWSe2, with properties calculated at the PBE level. Values from VASP.

```
&SYSTEM
  ibrav = 0, nat = 4, ntyp = 3
/
ATOMIC_SPECIES
Os 190.23 Os.upf
Se 78.96 Se.upf
W 183.84 W.upf
ATOMIC_POSITIONS angstrom
Os -5.4179 -0.1663 -0.5371
Se -5.6935 1.6476 1.5474
Se -3.1402 -0.8255 -1.1561
W -3.4291 0.9923 0.9319
CELL_PARAMETERS angstrom
-0.5785 0.7057 -2.8800
-1.2321 -3.6501 -0.6470
-6.3480 1.8370 1.7252
```

Values from the calculation:
- Relative energy among the computed polymorphs: 18.96 kJ per mole of atoms
- Raw formation energy: 0.301 eV/atom
- Raw total energy: -29.9 eV for the cell shown
- Volume: 20.2 A^3/atom


(11)
Below is a relaxed structure of Os2WSe, with properties calculated at the PBE level. Values from VASP.

```
&SYSTEM
  ibrav = 0, nat = 4, ntyp = 3
/
ATOMIC_SPECIES
Os 190.23 Os.upf
Se 78.96 Se.upf
W 183.84 W.upf
ATOMIC_POSITIONS angstrom
Os -10.5325 6.5780 -22.4455
Os -5.2861 3.3014 -11.2651
Se -2.6364 1.6466 -5.6184
W -7.9093 4.9397 -16.8553
CELL_PARAMETERS angstrom
-2.6478 3.6112 -7.4833
-2.8743 0.8330 -8.1913
-5.0236 2.1420 -6.7991
```

Values from the calculation:
- Raw formation energy: 0.392 eV/atom
- Raw total energy: -37.3 eV for the cell shown
- Volume: 15.3 A^3/atom


(12)
Below is a relaxed structure of OsWSe2, with properties calculated at the PBE level. Values from VASP.

```
&SYSTEM
  ibrav = 0, nat = 4, ntyp = 3
/
ATOMIC_SPECIES
Os 190.23 Os.upf
Se 78.96 Se.upf
W 183.84 W.upf
ATOMIC_POSITIONS angstrom
Os -2.9021 -3.8955 -1.8873
Se -0.0237 -0.0302 0.0027
Se -1.9099 -2.4368 0.2160
W -0.9685 -1.4285 -2.1059
CELL_PARAMETERS angstrom
-1.7546 1.1684 -2.3339
1.7512 -1.5584 -2.0966
-3.8672 -4.9339 0.4373
```

Values from the calculation:
- Relative energy among the computed polymorphs: 52.11 kJ per mole of atoms
- Raw formation energy: 0.644 eV/atom
- Raw total energy: -28.6 eV for the cell shown
- Volume: 15.5 A^3/atom


(13)
Below is a relaxed structure of OsW5Se12, with properties calculated at the PBE level. Values from VASP.

```
&SYSTEM
  ibrav = 0, nat = 18, ntyp = 3
/
ATOMIC_SPECIES
Os 190.23 Os.upf
W 183.84 W.upf
Se 78.96 Se.upf
ATOMIC_POSITIONS angstrom
Os -5.2863 -1.5144 -1.4432
W -4.0505 -2.1847 5.9007
W -2.8336 -5.9130 5.3556
W -6.2720 -4.2336 4.9902
W -4.0650 -5.2568 -1.9904
W -2.2261 -2.0348 -0.9084
Se -5.4133 -2.3019 3.6602
Se -2.6877 -2.0675 8.1412
Se -6.0368 -3.5047 10.4951
Se -3.0688 -6.6418 -0.1494
Se -4.9290 -6.7765 10.4241
Se -1.0632 -4.0541 0.4328
Se -8.0425 -6.0925 9.9131
Se -4.1767 -3.3701 -0.0782
Se -4.6312 -4.5021 6.8757
Se -6.7849 -6.7589 5.9348
Se -2.3207 -3.3877 4.4110
Se -4.4744 -5.6445 3.4701
CELL_PARAMETERS angstrom
-5.2863 -1.5144 -1.4432
-1.0046 -5.7772 -1.4555
-2.8146 -2.8550 13.2446
```

Values from the calculation:
- Raw formation energy: -0.352 eV/atom
- Raw total energy: -124.1 eV for the cell shown
- Volume: 23.3 A^3/atom


(14)
Below is a relaxed structure of Os2WSe, with properties calculated at the PBE level. Values from VASP.

```
&SYSTEM
  ibrav = 0, nat = 8, ntyp = 3
/
ATOMIC_SPECIES
Os 190.23 Os.upf
Se 78.96 Se.upf
W 183.84 W.upf
ATOMIC_POSITIONS angstrom
Os 4.1980 1.4164 1.3619
Os 1.4676 4.2492 1.3619
Os 4.2492 4.3004 4.0856
Os 7.0821 7.0309 4.0856
Se 2.8328 2.8328 0.0000
Se 2.8328 5.6656 2.7237
W 0.0000 0.0000 0.0000
W 5.6656 2.8328 2.7237
CELL_PARAMETERS angstrom
5.6656 0.0000 0.0000
0.0000 5.6656 0.0000
2.8328 2.8328 5.4474
```

Values from the calculation:
- Raw formation energy: 0.918 eV/atom
- Raw total energy: -70.4 eV for the cell shown
- Volume: 21.9 A^3/atom


no.,size of the total moment (μB per formula unit)
1,1.6
2,0.0
3,0.0
4,0.0
5,0.0
6,0.0
7,0.0
8,0.0
9,0.0
10,0.0
11,0.0
12,0.0
13,0.1
14,0.0